Entry 1:
The following is a DFT calculation (PBE) of a relaxed LiCaTc4 crystal.

The structure belongs to space group F-43m (No. 216); the cell edges are 7.470, 7.470 and 7.470 Å and the angles 90.00°, 90.00° and 90.00°. The asymmetric unit holds Li at (0.000, 0.000, 0.000), Ca at (0.250, 0.250, 0.250) and Tc at (0.126, 0.126, 0.626).

The value obtained for the total magnetization is 0.000 μB per atom. The calculation puts the total energy at -7.18 eV per atom. Its formation enthalpy at 0 K is 0.39 eV/atom.

---

Entry 2:
The following is a DFT calculation (PBE) of a relaxed YAl2Os2 crystal.

The structure belongs to space group P4/mbm (No. 127); the cell edges are 7.407, 7.407 and 3.012 Å and the angles 90.00°, 90.00° and 90.00°. The asymmetric unit holds Y at (0.000, 0.000, 0.000), Al at (0.127, 0.373, 0.000) and Os at (0.165, 0.665, 0.500).

The value obtained for the distance to the lowest polymorph of the same formula is 8.3 meV/atom. The value obtained for the total magnetization is 0.000 μB per atom. The calculation puts the total energy at -7.61 eV per atom. Its formation enthalpy at 0 K is -0.32 eV/atom.

---

Entry 3:
The following is a DFT calculation (PBE) of a relaxed AlIn3As crystal.

The structure belongs to space group Pm-3m (No. 221); the cell edges are 5.385, 5.385 and 5.385 Å and the angles 90.00°, 90.00° and 90.00°. The asymmetric unit holds Al at (0.000, 0.000, 0.000), In at (0.000, 0.500, 0.500) and As at (0.500, 0.500, 0.500).

The value obtained for the distance to the lowest polymorph of the same formula is 56.8 meV/atom. The value obtained for the total magnetization is 0.000 μB per atom. The calculation puts the total energy at -2.80 eV per atom. Its formation enthalpy at 0 K is 0.52 eV/atom.

---

Entry 4:
The following is a DFT calculation (PBE) of a relaxed SrTh2H crystal.

The structure belongs to space group R-3m (No. 166, hexagonal axes); the cell edges are 3.5596, 3.5596 and 30.8962 Å and the angles 90.00°, 90.00° and 120.00°. The asymmetric unit holds Sr at (0.0000, 0.0000, 0.0000), Th at (0.0000, 0.0000, 0.1164) and H at (0.0000, 0.0000, 0.5000).

The value obtained for the total magnetization is 0.000 μB per atom. The calculation puts the total energy at -4.80 eV per atom.

---

Entry 5:
The following is a DFT calculation (PBE) of a relaxed NaTb4Ag5 crystal.

The structure belongs to space group P4/mmm (No. 123); the cell edges are 3.611, 3.611 and 18.613 Å and the angles 90.00°, 90.00° and 90.00°. The asymmetric unit holds Na at (0.000, 0.000, 0.000), Tb at (0.000, 0.000, 0.199), Tb at (0.000, 0.000, 0.400), Ag at (0.500, 0.500, 0.104), Ag at (0.500, 0.500, 0.300) and Ag at (0.500, 0.500, 0.500).

The value obtained for the total magnetization is 0.000 μB per atom. The calculation puts the total energy at -3.65 eV per atom. Its formation enthalpy at 0 K is -0.24 eV/atom.

---

Entry 6:
The following is a DFT calculation (PBE) of a relaxed FeTcIr4 crystal.

The structure belongs to space group R-3m (No. 166, hexagonal axes); the cell edges are 4.0964, 4.0964 and 20.2293 Å and the angles 90.00°, 90.00° and 120.00°. The asymmetric unit holds Fe at (0.0000, 0.0000, 0.0000), Tc at (0.0000, 0.0000, 0.5000), Ir at (0.0000, 0.0000, 0.1219) and Ir at (0.0000, 0.0000, 0.3734).

The value obtained for the distance to the lowest polymorph of the same formula is 442.2 meV/atom. The value obtained for the total magnetization is 0.521 μB per atom. The calculation puts the total energy at -8.68 eV per atom. Its formation enthalpy at 0 K is 0.37 eV/atom.

---

Entry 7:
The following is a DFT calculation (PBE) of a relaxed KSi2P crystal.

The structure belongs to space group I4_1/amd (No. 141, origin choice 2); the cell edges are 4.803, 4.803 and 16.838 Å and the angles 90.00°, 90.00° and 90.00°. The asymmetric unit holds K at (0.000, 0.250, 0.375), Si at (0.000, 0.000, 0.000) and P at (0.000, 0.250, 0.875).

The value obtained for the distance to the lowest polymorph of the same formula is 63.4 meV/atom. The value obtained for the total magnetization is 0.000 μB per atom. The calculation puts the total energy at -4.18 eV per atom. The value obtained for the formation energy without anion corrections is 0.646 eV per formula unit.

---

Entry 8:
The following is a DFT calculation (PBE) of a relaxed CsSrPa2O7 crystal.

The structure belongs to space group P4/mmm (No. 123); the cell edges are 4.361, 4.361 and 10.801 Å and the angles 90.00°, 90.00° and 90.00°. The asymmetric unit holds Cs at (0.000, 0.000, 0.000), Sr at (0.000, 0.000, 0.500), Pa at (0.500, 0.500, 0.298), O at (0.000, 0.500, 0.331), O at (0.500, 0.500, 0.110) and O at (0.500, 0.500, 0.500).

The value obtained for the total magnetization is 0.089 μB per atom. The calculation puts the total energy at -8.13 eV per atom. The value obtained for the formation energy without anion corrections is -33.167 eV per formula unit.

---

Entry 9:
The following is a DFT calculation (PBE) of a relaxed BaAcPPt crystal.

The structure belongs to space group F-43m (No. 216); the cell edges are 7.651, 7.651 and 7.651 Å and the angles 90.00°, 90.00° and 90.00°. The asymmetric unit holds Ba at (0.000, 0.000, 0.000), Ac at (0.000, 0.000, 0.500), P at (0.250, 0.250, 0.250) and Pt at (0.250, 0.250, 0.750).

The value obtained for the total magnetization is 0.000 μB per atom. The calculation puts the total energy at -5.28 eV per atom. Its formation enthalpy at 0 K is -0.91 eV/atom.

---

Entry 10:
The following is a DFT calculation (PBE) of a relaxed SmMgAu2 crystal.

The structure belongs to space group P4/mmm (No. 123); the cell edges are 4.946, 4.946 and 3.600 Å and the angles 90.00°, 90.00° and 90.00°. The asymmetric unit holds Sm at (0.000, 0.000, 0.000), Mg at (0.500, 0.500, 0.000) and Au at (0.000, 0.500, 0.500).

The value obtained for the total magnetization is 0.000 μB per atom. The calculation puts the total energy at -3.85 eV per atom. Its formation enthalpy at 0 K is -0.63 eV/atom.